# 1
CaAcCuPb: optimized geometry, PBE.

a = 5.5314 Å, b = 5.5314 Å, c = 5.5314 Å
α = 60.00°, β = 60.00°, γ = 60.00°
With the nearest neighbours (Å) after each atom.
Atoms (fractional coordinates):
1 Ca 0.0000 0.0000 0.0000  4 Cu 3.39, 4 Pb 3.39
2 Ac 0.5000 0.5000 0.5000  4 Cu 3.39, 4 Pb 3.39
3 Cu 0.7500 0.7500 0.7500  4 Ca 3.39, 4 Ac 3.39
4 Pb 0.2500 0.2500 0.2500  4 Ac 3.39, 4 Ca 3.39

Properties
VASP energy	-0.2793	Ry/atom
magnetic moment	0.000	μB/atom
space-group type	F-43m (216)
E_form	-0.3215	eV per atom

# 2
ZnAg2Cl2F2: optimized geometry, PBE.

a = 6.1931 Å, b = 6.1931 Å, c = 6.7772 Å
α = 121.35°, β = 121.35°, γ = 34.64°
With the nearest neighbours (Å) after each atom.
Atoms (fractional coordinates):
1 Zn 0.0000 0.0000 0.0000  2 F 1.94
2 Ag 0.1569 0.1569 0.6316  3 F 2.45-2.53, 2 Cl 2.74
3 Ag 0.8431 0.8431 0.3684  3 F 2.45-2.53, 2 Cl 2.74
4 Cl 0.4265 0.4265 0.1740  2 Zn 2.58, 2 Ag 2.74
5 Cl 0.5735 0.5735 0.8260  2 Zn 2.58, 2 Ag 2.74
6 F 0.1770 0.1770 0.2900  1 Zn 1.94
7 F 0.8230 0.8230 0.7100  1 Zn 1.94

Properties
VASP energy	-0.2322	Ry/atom
magnetic moment	0.000	μB/atom
space-group type	C2/m (12)
ΔE_f (raw)	-1.1006	eV per atom

# 3
LiLuRh4: optimized geometry, PBE.

a = 5.2001 Å, b = 5.2001 Å, c = 5.2001 Å
α = 60.00°, β = 60.00°, γ = 60.00°
With the nearest neighbours (Å) after each atom.
Atoms (fractional coordinates):
1 Li 0.0000 0.0000 0.0000  12 Rh 3.05, 4 Lu 3.18
2 Lu 0.7500 0.7500 0.7500  12 Rh 3.05, 4 Li 3.18
3 Rh 0.3747 0.3747 0.3747  6 Rh 2.59-2.61
4 Rh 0.3747 0.3747 0.8759  6 Rh 2.59-2.61
5 Rh 0.3747 0.8759 0.3747  6 Rh 2.59-2.61
6 Rh 0.8759 0.3747 0.3747  6 Rh 2.59-2.61

Properties
VASP energy	-0.4720	Ry/atom
magnetic moment	0.003	μB/atom
space-group type	F-43m (216)
E_form	-0.4491	eV per atom